Record 1
## InHgTeN2 (GGA-PBEsol)

Data for a relaxed InHgTeN2 crystal.

Computed properties:
- formation energy from raw total energies (eV/f.u.) = 6.49

Unit cell a=4.241 b=4.241 c=6.155 alpha=90.00 beta=90.00 gamma=90.00
Space group P4/mmm (No. 123)
Inequivalent atoms, fractional coordinates:
1 In 0.000 0.000 0.000 (multiplicity 1)
2 Hg 0.500 0.500 0.500 (multiplicity 1)
3 Te 0.000 0.000 0.500 (multiplicity 1)
4 N 0.000 0.500 0.000 (multiplicity 2)

---

Record 2
## FeCu2Pt (GGA-PBEsol)

Data for a relaxed FeCu2Pt crystal.

Computed properties:
- E_form (eV per atom) = 0.046

Unit cell a=2.6151 b=2.6151 c=25.3493 alpha=90.00 beta=90.00 gamma=120.00
Space group R-3m (No. 166, hexagonal axes)
Inequivalent atoms, fractional coordinates:
1 Fe 0.0000 0.0000 0.0000 (multiplicity 3)
2 Cu 0.0000 0.0000 0.2536 (multiplicity 6)
3 Pt 0.0000 0.0000 0.5000 (multiplicity 3)

---

Record 3
## CsKZn3 (GGA-PBEsol)

Data for a relaxed CsKZn3 crystal.

Computed properties:
- E_form (eV per atom) = 0.640
- excess energy over the best structure of this formula in the dataset (meV/atom) = 0.0

Unit cell a=6.057 b=6.057 c=6.057 alpha=90.00 beta=90.00 gamma=90.00
Space group Pm-3m (No. 221)
Inequivalent atoms, fractional coordinates:
1 Cs 0.000 0.000 0.000 (multiplicity 1)
2 K 0.500 0.500 0.500 (multiplicity 1)
3 Zn 0.000 0.500 0.500 (multiplicity 3)